Computed, not measured: a crystal of TcPPb relaxed with PBEsol at the meta-GGA SCAN level of DFT.

```
TcPPb
1.0
-2.533 -1.932 -0.381
2.791 -1.199 1.033
-1.694 1.074 5.822
Tc Pb P
1 1 1
direct
0.667 0.333 0.287
0.333 0.667 0.655
0.000 0.000 0.059
```

Calculated values
The value obtained for the volume is 54.9 Å³/cell. Its raw total energy is -40.367 eV/atom. The symmetry is P3m1. For the energy above the most stable polymorph in this dataset, the calculation gives 0.0000 eV/atom.